A relaxed structure of La2PrNd2Y6, computed with PBE.

a b c (Å): 8.8086 8.8086 8.1465
angles (deg): 90.00 90.00 142.18
With the nearest neighbours (Å) after each atom.
Fractional coordinates of all 11 atoms:
La  0.1724  0.8276  0.0000  8 Y 3.69-3.99, 2 La 3.85, 2 Pr 4.05, 2 Nd 4.08
La  0.8276  0.1724  0.0000  8 Y 3.69-3.99, 2 La 3.85, 2 Pr 4.05, 2 Nd 4.08
Pr  0.5000  0.5000  0.0000  4 Y 3.23
Nd  0.1885  0.8115  0.5000  8 Y 3.43-3.60, 2 Nd 3.51
Nd  0.8115  0.1885  0.5000  8 Y 3.43-3.60, 2 Nd 3.51
Y  0.0000  0.0000  0.2844  5 Y 3.51-3.62, 2 Nd 3.60, 2 Pr 3.68, 2 La 3.69
Y  0.0000  0.0000  0.7156  5 Y 3.51-3.62, 2 Nd 3.60, 2 Pr 3.68, 2 La 3.69
Y  0.3663  0.6337  0.2867  1 Pr 3.23, 3 Nd 3.43-3.46, 1 Y 3.48
Y  0.3663  0.6337  0.7133  1 Pr 3.23, 3 Nd 3.43-3.46, 1 Y 3.48
Y  0.6337  0.3663  0.2867  1 Pr 3.23, 3 Nd 3.43-3.46, 1 Y 3.48
Y  0.6337  0.3663  0.7133  1 Pr 3.23, 3 Nd 3.43-3.46, 1 Y 3.48

Calculated values
- Energy of formation from the pure elements: 0.1404 eV per atom
- Raw total energy: -0.2052 Ha/atom
- Magnetic moment: 0.00 μB per formula unit

A relaxed structure of LaPrNdZn, computed with PBE.

a b c (Å): 3.7318 3.7318 8.8449
angles (deg): 90.00 90.00 90.00
With the nearest neighbours (Å) after each atom.
Fractional coordinates of all 4 atoms:
La  0.0000  0.0000  0.0000  4 Nd 3.70, 4 Pr 3.72, 4 La 3.73
Pr  0.5000  0.5000  0.7029  4 Zn 3.21
Nd  0.5000  0.5000  0.2940  4 Zn 3.18
Zn  0.0000  0.0000  0.4954  4 Nd 3.18, 4 Pr 3.21

Calculated values
- Energy of formation from the pure elements: -0.1488 eV per atom
- Raw total energy: -0.1502 Ha/atom
- Magnetic moment: 0.00 μB per formula unit
- Offset from the most stable computed form: 0.0 meV per atom